SiIr2Br: optimized geometry, PBE-GGA.

Unit cell a=3.9309 b=3.9309 c=7.1961 alpha=104.98 beta=104.98 gamma=51.00
Atoms (fractional coordinates):
Br 0.2500 0.2500 0.2500
Ir 0.0996 0.0996 0.8938
Ir 0.4004 0.4004 0.6062
Si 0.7500 0.7500 0.7500

Calculated values
N(E_F) ... 2.86 states/eV/f.u.
Calculated volume ... 82.80 Å³/cell
Crystal system ... monoclinic
Symmetry ... C2/m
ΔE_f (raw) ... 5.4 kJ/mol of atoms

=====

LiFeSb2: optimized geometry, PBE-GGA.

Unit cell a=3.3050 b=3.3050 c=7.5320 alpha=90.00 beta=90.00 gamma=90.00
Last column: magnetic moment on the atom in μB.
Atoms (fractional coordinates):
Fe 0.0000 0.0000 0.5315  2.37
Li 0.5000 0.5000 0.7101  -0.01
Sb 0.0000 0.0000 0.9106  0.02
Sb 0.5000 0.5000 0.3478  -0.06

Calculated values
N(E_F) ... 3.55 states/eV/f.u.
Calculated volume ... 82.27 Å³/cell
Crystal system ... tetragonal
Symmetry ... P4mm
ΔE_f (raw) ... 7.4 kJ/mol of atoms